1.
DFT (PBE) results for crystalline TmSc4SbC2 at its relaxed geometry.

a = 3.3838 Å, b = 3.3838 Å, c = 15.6407 Å
α = 90.00°, β = 90.00°, γ = 120.00°
With the nearest neighbours (Å) after each atom.
Element x y z (fractional)
C 0.3333 0.6667 0.2305  6 Sc 2.29-2.30
C 0.3333 0.6667 0.7695  6 Sc 2.29-2.30
Sb 0.0000 0.0000 0.0000  6 Sc 3.10, 6 Sb 3.38
Sc 0.6667 0.3333 0.1538  3 C 2.29
Sc 0.0000 0.0000 0.3081  3 C 2.30
Sc 0.0000 0.0000 0.6919  3 C 2.30
Sc 0.6667 0.3333 0.8462  3 C 2.29
Tm 0.6667 0.3333 0.5000  6 Tm 3.38, 6 Sc 3.58

- Magnetic moment: 0.65 μB/f.u.
- Total energy: -7.053 eV per atom

2.
DFT (PBE) results for crystalline Sc2Sb3W4C3 at its relaxed geometry.

a = 5.7491 Å, b = 5.7491 Å, c = 13.5003 Å
α = 100.33°, β = 100.33°, γ = 60.76°
With the nearest neighbours (Å) after each atom.
Element x y z (fractional)
C 0.5000 0.0000 0.0000  4 W 2.11-2.16, 2 Sc 2.35
C 0.8451 0.3309 0.0015  4 W 2.11-2.21, 2 Sc 2.31-2.36
C 0.6691 0.1549 0.4985  4 W 2.11-2.21, 2 Sc 2.31-2.36
C 0.0000 0.5000 0.5000  4 W 2.11-2.16, 2 Sc 2.35
C 0.3309 0.8451 0.5015  4 W 2.11-2.21, 2 Sc 2.31-2.36
C 0.1549 0.6691 0.9985  4 W 2.11-2.21, 2 Sc 2.31-2.36
Sb 0.5756 0.7813 0.2459  4 W 2.84-3.14, 2 Sc 2.89-2.90
Sb 0.9393 0.0607 0.2500  4 W 2.89-3.06, 2 Sc 2.90, 4 Sb 3.19-3.20
Sb 0.2187 0.4244 0.2541  4 W 2.84-3.14, 2 Sc 2.89-2.90
Sb 0.7813 0.5756 0.7459  4 W 2.84-3.14, 2 Sc 2.89-2.90
Sb 0.0607 0.9393 0.7500  4 W 2.89-3.06, 2 Sc 2.90, 4 Sb 3.19-3.20
Sb 0.4244 0.2187 0.7541  4 W 2.84-3.14, 2 Sc 2.89-2.90
Sc 0.5299 0.3690 0.0973  3 C 2.31-2.36
Sc 0.6310 0.4701 0.4027  3 C 2.31-2.36
Sc 0.3690 0.5299 0.5973  3 C 2.31-2.36
Sc 0.4701 0.6310 0.9027  3 C 2.31-2.36
W 0.8378 0.6934 0.0732  3 C 2.11-2.17
W 0.1982 0.0013 0.0753  3 C 2.11-2.21
W 0.9987 0.8018 0.4247  3 C 2.11-2.21
W 0.3066 0.1622 0.4268  3 C 2.11-2.17
W 0.6934 0.8378 0.5732  3 C 2.11-2.17
W 0.0013 0.1982 0.5753  3 C 2.11-2.21
W 0.8018 0.9987 0.9247  3 C 2.11-2.21
W 0.1622 0.3066 0.9268  3 C 2.11-2.17

- Magnetic moment: 0.00 μB/f.u.
- Total energy: -8.847 eV per atom